BaPaV2O8 | GGA+U | optimized geometry

```
BaPaV2O8
1.0
5.8281 0.0000 0.0000
-2.9140 5.0472 0.0000
0.0000 0.0000 7.5915
Ba Pa V O
1 1 2 8
Direct
0.0000 0.0000 0.0000
0.0000 0.0000 0.5000
0.3333 0.6667 0.2359
0.6667 0.3333 0.7641
0.1647 0.3294 0.3133
0.1647 0.8353 0.3133
0.3294 0.1647 0.6867
0.3333 0.6667 0.0146
0.6667 0.3333 0.9854
0.6706 0.8353 0.3133
0.8353 0.1647 0.6867
0.8353 0.6706 0.6867
```

Calculated volume: 223.3 Å³/cell
Calculated density: 4.45 g/cm³
M_tot: 1.001 μB/f.u.
Electronic total energy: -8.0812 eV/atom